Entry 1:
VASP calculation (PBE-GGA) on KRbI after structural relaxation.

Computed properties:
* N(E_F): 2.53 states/eV per cell
* total energy: -12.60 eV/cell
* excess energy over the best structure of this formula in the dataset: 0.033 eV/atom

```
data_KRbI
_cell_length_a 7.085
_cell_length_b 4.847
_cell_length_c 13.190
_cell_angle_alpha 100.90
_cell_angle_beta 110.27
_cell_angle_gamma 110.94
_symmetry_space_group_name_H-M 'P 1'
_symmetry_Int_Tables_number 1
_symmetry_space_group_name_Hall 'P 1'
loop_
_atom_site_label
_atom_site_type_symbol
_atom_site_fract_x
_atom_site_fract_y
_atom_site_fract_z
_atom_site_occupancy
I1 I 0.356 0.507 0.157 1
I2 I 0.644 0.493 0.843 1
K1 K 0.643 0.277 0.395 1
K2 K 0.357 0.723 0.605 1
Rb1 Rb 0.074 0.214 0.838 1
Rb2 Rb 0.926 0.786 0.162 1
```

Entry 2:
VASP calculation (PBE-GGA) on KRbI2 after structural relaxation.

Computed properties:
* N(E_F): 0.00 states/eV per cell
* total energy: -11.01 eV/cell
* excess energy over the best structure of this formula in the dataset: 0.028 eV/atom

```
data_KRbI2
_cell_length_a 5.061
_cell_length_b 5.061
_cell_length_c 9.377
_cell_angle_alpha 74.34
_cell_angle_beta 74.34
_cell_angle_gamma 60.00
_symmetry_space_group_name_H-M 'P 1'
_symmetry_Int_Tables_number 1
_symmetry_space_group_name_Hall 'P 1'
loop_
_atom_site_label
_atom_site_type_symbol
_atom_site_fract_x
_atom_site_fract_y
_atom_site_fract_z
_atom_site_occupancy
K1 K 0.499 0.499 0.503 1
Rb1 Rb 0.668 0.668 0.997 1
I1 I 0.085 0.085 0.744 1
I2 I 0.248 0.248 0.255 1
```

Entry 3:
VASP calculation (PBE-GGA) on KRbI3 after structural relaxation.

Computed properties:
* N(E_F): 11.72 states/eV per cell
* total energy: -10.72 eV/cell
* excess energy over the best structure of this formula in the dataset: 0.091 eV/atom

```
data_KRbI3
_cell_length_a 6.892
_cell_length_b 6.892
_cell_length_c 6.892
_cell_angle_alpha 90.00
_cell_angle_beta 90.00
_cell_angle_gamma 90.00
_symmetry_space_group_name_H-M 'P 1'
_symmetry_Int_Tables_number 1
_symmetry_space_group_name_Hall 'P 1'
loop_
_atom_site_label
_atom_site_type_symbol
_atom_site_fract_x
_atom_site_fract_y
_atom_site_fract_z
_atom_site_occupancy
I1 I 0.000 0.500 0.000 1
I2 I 0.000 0.000 0.500 1
I3 I 0.500 0.000 0.000 1
K1 K 0.500 0.500 0.500 1
Rb1 Rb 0.000 0.000 0.000 1
```

Entry 4:
VASP calculation (PBE-GGA) on KRb3I4 after structural relaxation.

Computed properties:
* N(E_F): 0.00 states/eV per cell
* total energy: -44.30 eV/cell

```
data_KRb3I4
_cell_length_a 9.048
_cell_length_b 9.084
_cell_length_c 10.444
_cell_angle_alpha 90.00
_cell_angle_beta 90.00
_cell_angle_gamma 109.36
_symmetry_space_group_name_H-M 'P 1'
_symmetry_Int_Tables_number 1
_symmetry_space_group_name_Hall 'P 1'
loop_
_atom_site_label
_atom_site_type_symbol
_atom_site_fract_x
_atom_site_fract_y
_atom_site_fract_z
_atom_site_occupancy
I1 I 0.995 0.247 0.628 1
I2 I 0.501 0.242 0.880 1
I3 I 0.495 0.247 0.372 1
I4 I 0.001 0.242 0.120 1
I5 I 0.999 0.758 0.880 1
I6 I 0.505 0.753 0.628 1
I7 I 0.499 0.758 0.120 1
I8 I 0.005 0.753 0.372 1
K1 K 0.750 0.000 0.875 1
K2 K 0.250 0.000 0.125 1
Rb1 Rb 0.750 0.000 0.373 1
Rb2 Rb 0.250 0.000 0.627 1
Rb3 Rb 0.750 0.500 0.627 1
Rb4 Rb 0.750 0.500 0.125 1
Rb5 Rb 0.250 0.500 0.373 1
Rb6 Rb 0.250 0.500 0.875 1
```

> Which of these has the highest total energy?

KRbI3

> total energy of number 3 (KRbI3)?

-10.72 eV/cell

Please write out number 2 again, unchanged.
VASP calculation (PBE-GGA) on KRbI2 after structural relaxation.

Computed properties:
* N(E_F): 0.00 states/eV per cell
* total energy: -11.01 eV/cell
* excess energy over the best structure of this formula in the dataset: 0.028 eV/atom

```
data_KRbI2
_cell_length_a 5.061
_cell_length_b 5.061
_cell_length_c 9.377
_cell_angle_alpha 74.34
_cell_angle_beta 74.34
_cell_angle_gamma 60.00
_symmetry_space_group_name_H-M 'P 1'
_symmetry_Int_Tables_number 1
_symmetry_space_group_name_Hall 'P 1'
loop_
_atom_site_label
_atom_site_type_symbol
_atom_site_fract_x
_atom_site_fract_y
_atom_site_fract_z
_atom_site_occupancy
K1 K 0.499 0.499 0.503 1
Rb1 Rb 0.668 0.668 0.997 1
I1 I 0.085 0.085 0.744 1
I2 I 0.248 0.248 0.255 1
```

> Look up the N(E_F) of the fourth one.

0.00 states/eV per cell